# 1
A relaxed Mg2CrCuP crystal, computed with GGA-PBE.

abc: 4.8889 4.8889 4.2899
angles: 90.00 90.00 90.00
With the nearest neighbours (Å) after each atom.
Space group P4/mmm (No. 123)
One atom of each set of equivalent atoms:
Mg (0.0000, 0.5000, 0.0000) [2 per cell]  2 Cu 2.44
Cr (0.0000, 0.0000, 0.5000) [1 per cell]  8 Mg 3.25, 4 P 3.46
Cu (0.5000, 0.5000, 0.0000) [1 per cell]  2 P 2.14
P (0.5000, 0.5000, 0.5000) [1 per cell]  2 Cu 2.14

Results
Calculated formation energy in eV/atom: 0.500


# 2
A relaxed Mg2CrCuPb crystal, computed with GGA-PBE.

abc: 5.3544 5.3544 5.3273
angles: 90.00 90.00 90.00
With the nearest neighbours (Å) after each atom.
Space group P4/mmm (No. 123)
One atom of each set of equivalent atoms:
Mg (0.0000, 0.5000, 0.0000) [2 per cell]  2 Pb 2.68
Cr (0.0000, 0.0000, 0.5000) [1 per cell]  2 Pb 2.66
Cu (0.5000, 0.5000, 0.5000) [1 per cell]  8 Mg 3.78, 4 Cr 3.79
Pb (0.0000, 0.0000, 0.0000) [1 per cell]  2 Cr 2.66, 4 Mg 2.68

Results
Calculated formation energy in eV/atom: 0.988


# 3
A relaxed Mg2CrCuPt crystal, computed with GGA-PBE.

abc: 4.6194 4.6194 4.7045
angles: 90.00 90.00 90.00
With the nearest neighbours (Å) after each atom.
Space group P4/mmm (No. 123)
One atom of each set of equivalent atoms:
Mg (0.0000, 0.5000, 0.0000) [2 per cell]  2 Cu 2.31
Cr (0.0000, 0.0000, 0.5000) [1 per cell]  4 Pt 3.27, 8 Mg 3.30
Cu (0.5000, 0.5000, 0.0000) [1 per cell]  4 Mg 2.31, 2 Pt 2.35
Pt (0.5000, 0.5000, 0.5000) [1 per cell]  2 Cu 2.35

Results
Calculated formation energy in eV/atom: 0.447


# 4
A relaxed MgCrCuPt2 crystal, computed with GGA-PBE.

abc: 4.5997 4.5997 4.3166
angles: 90.00 90.00 90.00
With the nearest neighbours (Å) after each atom.
Space group P4/mmm (No. 123)
One atom of each set of equivalent atoms:
Mg (0.0000, 0.0000, 0.0000) [1 per cell]  2 Cu 2.16, 4 Pt 2.30
Cr (0.5000, 0.5000, 0.5000) [1 per cell]  8 Pt 3.15, 4 Cu 3.25
Cu (0.0000, 0.0000, 0.5000) [1 per cell]  2 Mg 2.16
Pt (0.0000, 0.5000, 0.0000) [2 per cell]  2 Mg 2.30

Results
Calculated formation energy in eV/atom: 1.210


# 5
A relaxed RbMgCr2Cu crystal, computed with GGA-PBE.

abc: 5.6672 5.6672 5.2924
angles: 90.00 90.00 90.00
With the nearest neighbours (Å) after each atom.
Space group P4/mmm (No. 123)
One atom of each set of equivalent atoms:
Rb (0.0000, 0.0000, 0.0000) [1 per cell]  2 Cu 2.65, 4 Cr 2.83
Mg (0.5000, 0.5000, 0.5000) [1 per cell]  8 Cr 3.88, 4 Cu 4.01
Cr (0.0000, 0.5000, 0.0000) [2 per cell]  2 Rb 2.83
Cu (0.0000, 0.0000, 0.5000) [1 per cell]  2 Rb 2.65

Results
Calculated formation energy in eV/atom: 2.020


# 6
A relaxed Mg2CrCuRe crystal, computed with GGA-PBE.

abc: 4.3960 4.3960 4.7088
angles: 90.00 90.00 90.00
With the nearest neighbours (Å) after each atom.
Space group P4/mmm (No. 123)
One atom of each set of equivalent atoms:
Mg (0.0000, 0.5000, 0.0000) [2 per cell]  2 Cu 2.20
Cr (0.0000, 0.0000, 0.5000) [1 per cell]  4 Re 3.11, 8 Mg 3.22
Cu (0.5000, 0.5000, 0.0000) [1 per cell]  4 Mg 2.20, 2 Re 2.35
Re (0.5000, 0.5000, 0.5000) [1 per cell]  2 Cu 2.35

Results
Calculated formation energy in eV/atom: 1.364


# 7
A relaxed MgCrCu2Sb crystal, computed with GGA-PBE.

abc: 4.6103 4.6103 5.2621
angles: 90.00 90.00 90.00
With the nearest neighbours (Å) after each atom.
Space group P4/mmm (No. 123)
One atom of each set of equivalent atoms:
Mg (0.0000, 0.0000, 0.0000) [1 per cell]  4 Cu 2.31
Cr (0.5000, 0.5000, 0.5000) [1 per cell]  4 Sb 3.26, 8 Cu 3.50
Cu (0.0000, 0.5000, 0.0000) [2 per cell]  2 Mg 2.31
Sb (0.0000, 0.0000, 0.5000) [1 per cell]  2 Mg 2.63

Results
Calculated total energy in eV per formula unit: -18.5


# 8
A relaxed MgCrCu3Se4 crystal, computed with GGA-PBE.

abc: 5.7727 5.7727 5.7727
angles: 90.00 90.00 90.00
With the nearest neighbours (Å) after each atom.
Space group P-43m (No. 215)
One atom of each set of equivalent atoms:
Mg (0.0000, 0.0000, 0.0000) [1 per cell]  4 Se 2.57
Cr (0.5000, 0.5000, 0.5000) [1 per cell]  4 Se 2.43
Cu (0.0000, 0.5000, 0.5000) [3 per cell]  4 Se 2.48
Se (0.2574, 0.2574, 0.7426) [4 per cell]  1 Cr 2.43, 3 Cu 2.48, 1 Mg 2.57

Results
Calculated total energy in eV per formula unit: -40.7


# 9
A relaxed Mg2TlCrCu crystal, computed with GGA-PBE.

abc: 4.8998 4.8998 4.9352
angles: 90.00 90.00 90.00
With the nearest neighbours (Å) after each atom.
Space group P4/mmm (No. 123)
One atom of each set of equivalent atoms:
Mg (0.0000, 0.5000, 0.0000) [2 per cell]  2 Cu 2.45
Tl (0.0000, 0.0000, 0.5000) [1 per cell]  2 Cu 2.47
Cr (0.5000, 0.5000, 0.5000) [1 per cell]  4 Tl 3.46, 8 Mg 3.48
Cu (0.0000, 0.0000, 0.0000) [1 per cell]  4 Mg 2.45, 2 Tl 2.47

Results
Calculated formation energy in eV/atom: 0.546


# 10
A relaxed MnCr2Cu crystal, computed with GGA-PBE.

abc: 5.8613 5.8613 5.8613
angles: 90.00 90.00 90.00
With the nearest neighbours (Å) after each atom.
Space group F-43m (No. 216)
One atom of each set of equivalent atoms:
Mn (0.0000, 0.0000, 0.0000) [4 per cell]  4 Cr 2.54, 4 Cu 2.54
Cr (0.0000, 0.0000, 0.5000) [4 per cell]  4 Cr 2.54, 4 Cu 2.54
Cr (0.2500, 0.2500, 0.2500) [4 per cell]  4 Cr 2.54, 4 Mn 2.54
Cu (0.2500, 0.2500, 0.7500) [4 per cell]  4 Cr 2.54, 4 Mn 2.54

Results
Calculated formation energy in eV/atom: 0.213


# 11
A relaxed MnCr2Cu crystal, computed with GGA-PBE.

abc: 2.8633 3.9177 8.1965
angles: 90.00 90.00 90.00
With the nearest neighbours (Å) after each atom.
Space group Cmm2 (No. 35)
One atom of each set of equivalent atoms:
Mn (0.0000, 0.0000, 0.0000) [2 per cell]  2 Cr 2.42, 4 Mn 2.43, 2 Cu 2.55
Cr (0.0000, 0.0000, 0.4833) [2 per cell]  6 Cr 2.43-2.47, 2 Cu 2.56
Cr (0.0000, 0.5000, 0.2380) [2 per cell]  2 Mn 2.42, 6 Cr 2.43-2.47
Cu (0.0000, 0.5000, 0.7429) [2 per cell]  4 Cu 2.43, 2 Mn 2.55, 2 Cr 2.56

Results
Calculated formation energy in eV/atom: 0.169


# 12
A relaxed MnCr2Cu crystal, computed with GGA-PBE.

abc: 3.5465 3.5465 3.6772
angles: 90.00 90.00 90.00
With the nearest neighbours (Å) after each atom.
Space group P4/mmm (No. 123)
One atom of each set of equivalent atoms:
Mn (0.0000, 0.0000, 0.0000) [1 per cell]  4 Cu 2.51, 8 Cr 2.55
Cr (0.0000, 0.5000, 0.5000) [2 per cell]  4 Cr 2.51, 4 Mn 2.55, 4 Cu 2.55
Cu (0.5000, 0.5000, 0.0000) [1 per cell]  4 Mn 2.51, 8 Cr 2.55

Results
Calculated formation energy in eV/atom: 0.230


# 13
A relaxed Mn2CrCu crystal, computed with GGA-PBE.

abc: 2.5079 2.5079 25.0959
angles: 90.00 90.00 120.00
With the nearest neighbours (Å) after each atom.
Space group R-3m (No. 166, hexagonal axes)
One atom of each set of equivalent atoms:
Mn (0.0000, 0.0000, 0.2471) [6 per cell]  3 Cr 2.48, 6 Mn 2.51, 3 Cu 2.60
Cr (0.0000, 0.0000, 0.5000) [3 per cell]  6 Mn 2.48, 6 Cr 2.51
Cu (0.0000, 0.0000, 0.0000) [3 per cell]  6 Cu 2.51, 6 Mn 2.60

Results
Calculated formation energy in eV/atom: 0.247


# 14
A relaxed Mn2CrCu crystal, computed with GGA-PBE.

abc: 2.8067 4.0669 8.1815
angles: 90.00 90.00 90.00
With the nearest neighbours (Å) after each atom.
Space group Cmmm (No. 65)
One atom of each set of equivalent atoms:
Mn (0.0000, 0.0000, 0.2408) [4 per cell]  2 Cr 2.42, 4 Mn 2.47, 2 Cu 2.54
Cr (0.0000, 0.5000, 0.0000) [2 per cell]  4 Mn 2.42, 4 Cr 2.47
Cu (0.0000, 0.5000, 0.5000) [2 per cell]  4 Cu 2.47, 4 Mn 2.54

Results
Calculated formation energy in eV/atom: 0.176


# 15
A relaxed MnCr2Cu crystal, computed with GGA-PBE.

abc: 4.9895 7.5897 2.4531
angles: 90.00 90.00 90.00
With the nearest neighbours (Å) after each atom.
Space group Cmmm (No. 65)
One atom of each set of equivalent atoms:
Mn (0.0000, 0.0000, 0.0000) [2 per cell]  2 Mn 2.45, 2 Cu 2.49, 8 Cr 2.58
Cr (0.2500, 0.2500, 0.5000) [4 per cell]  4 Cr 2.45-2.49, 4 Mn 2.58, 4 Cu 2.58
Cu (0.0000, 0.5000, 0.0000) [2 per cell]  2 Cu 2.45, 2 Mn 2.49, 8 Cr 2.58

Results
Calculated formation energy in eV/atom: 0.265


# 16
A relaxed MnCr2Cu crystal, computed with GGA-PBE.

abc: 3.5904 3.5904 7.0918
angles: 90.00 90.00 90.00
With the nearest neighbours (Å) after each atom.
Space group I4/mmm (No. 139)
One atom of each set of equivalent atoms:
Mn (0.0000, 0.0000, 0.0000) [2 per cell]  8 Cr 2.52, 4 Cu 2.54
Cr (0.0000, 0.5000, 0.2500) [4 per cell]  4 Mn 2.52, 4 Cu 2.52, 4 Cr 2.54
Cu (0.0000, 0.0000, 0.5000) [2 per cell]  8 Cr 2.52, 4 Mn 2.54

Results
Calculated formation energy in eV/atom: 0.263


# 17
A relaxed MnCr2Cu crystal, computed with GGA-PBE.

abc: 2.9042 4.0159 7.9295
angles: 90.00 90.00 90.00
With the nearest neighbours (Å) after each atom.
Space group Imm2 (No. 44)
One atom of each set of equivalent atoms:
Mn (0.0000, 0.0000, 0.0000) [2 per cell]  6 Cr 2.35-2.49, 2 Cu 2.57
Cr (0.0000, 0.0000, 0.4647) [2 per cell]  2 Cr 2.34, 4 Mn 2.49, 2 Cu 2.57
Cr (0.0000, 0.5000, 0.7332) [2 per cell]  2 Cr 2.34, 2 Mn 2.35, 4 Cu 2.48
Cu (0.0000, 0.5000, 0.2320) [2 per cell]  8 Cr 2.48-2.73, 4 Mn 2.57-2.72

Results
Calculated formation energy in eV/atom: 0.269


# 18
A relaxed Mn2CrCu crystal, computed with GGA-PBE.

abc: 5.0339 8.2473 2.4208
angles: 90.00 113.34 90.00
With the nearest neighbours (Å) after each atom.
Space group C2/m (No. 12)
One atom of each set of equivalent atoms:
Mn (0.2500, 0.2500, 0.0000) [4 per cell]  4 Mn 2.42-2.52, 2 Cr 2.47, 2 Cu 2.47
Cr (0.0000, 0.0000, 0.5000) [2 per cell]  2 Cr 2.42, 4 Mn 2.47, 2 Cu 2.52
Cu (0.0000, 0.5000, 0.5000) [2 per cell]  2 Cu 2.42, 4 Mn 2.47, 2 Cr 2.52

Results
Calculated formation energy in eV/atom: 0.253


# 19
A relaxed Mn2CrCu crystal, computed with GGA-PBE.

abc: 3.8275 3.8275 6.7844
angles: 90.00 90.00 90.00
With the nearest neighbours (Å) after each atom.
Space group I4/mmm (No. 139)
One atom of each set of equivalent atoms:
Mn (0.0000, 0.5000, 0.2500) [4 per cell]  4 Cr 2.56, 4 Cu 2.56, 4 Mn 2.71
Cr (0.0000, 0.0000, 0.0000) [2 per cell]  8 Mn 2.56, 4 Cu 2.71
Cu (0.0000, 0.0000, 0.5000) [2 per cell]  8 Mn 2.56, 4 Cr 2.71

Results
Calculated formation energy in eV/atom: 0.126


# 20
A relaxed MnCrCu3 crystal, computed with GGA-PBE.

abc: 4.5011 4.5011 4.5011
angles: 90.00 90.00 90.00
With the nearest neighbours (Å) after each atom.
Space group Pm-3m (No. 221)
One atom of each set of equivalent atoms:
Mn (0.0000, 0.0000, 0.0000) [1 per cell]  12 Cu 3.18
Cr (0.5000, 0.5000, 0.5000) [1 per cell]  6 Cu 2.25
Cu (0.0000, 0.5000, 0.5000) [3 per cell]  2 Cr 2.25

Results
Calculated formation energy in eV/atom: 1.279


# 21
A relaxed Mn2CrCu crystal, computed with GGA-PBE.

abc: 2.9458 3.8443 8.0459
angles: 90.00 90.00 90.00
With the nearest neighbours (Å) after each atom.
Space group Cmm2 (No. 35)
One atom of each set of equivalent atoms:
Mn (0.0000, 0.0000, 0.0000) [2 per cell]  6 Mn 2.40-2.42, 2 Cr 2.46
Mn (0.0000, 0.5000, 0.2355) [2 per cell]  6 Mn 2.40-2.42, 2 Cu 2.55
Cr (0.0000, 0.5000, 0.7548) [2 per cell]  4 Cr 2.42, 2 Mn 2.46, 2 Cu 2.57
Cu (0.0000, 0.0000, 0.4936) [2 per cell]  4 Cu 2.42, 2 Mn 2.55, 2 Cr 2.57

Results
Calculated formation energy in eV/atom: 0.214


# 22
A relaxed MnCr2Cu crystal, computed with GGA-PBE.

abc: 4.9509 8.1159 2.3785
angles: 90.00 106.55 90.00
With the nearest neighbours (Å) after each atom.
Space group C2/m (No. 12)
One atom of each set of equivalent atoms:
Mn (0.0000, 0.0000, 0.0000) [2 per cell]  2 Mn 2.38, 2 Cu 2.48, 4 Cr 2.49
Cr (0.2500, 0.2500, 0.5000) [4 per cell]  4 Cr 2.38-2.48, 2 Mn 2.49, 2 Cu 2.49
Cu (0.0000, 0.5000, 0.0000) [2 per cell]  2 Cu 2.38, 2 Mn 2.48, 4 Cr 2.49

Results
Calculated formation energy in eV/atom: 0.244


# 23
A relaxed Mn2CrCu crystal, computed with GGA-PBE.

abc: 5.7990 5.7990 5.7990
angles: 90.00 90.00 90.00
With the nearest neighbours (Å) after each atom.
Space group Fm-3m (No. 225)
One atom of each set of equivalent atoms:
Mn (0.2500, 0.2500, 0.2500) [8 per cell]  4 Cr 2.51, 4 Cu 2.51
Cr (0.0000, 0.0000, 0.0000) [4 per cell]  8 Mn 2.51
Cu (0.0000, 0.0000, 0.5000) [4 per cell]  8 Mn 2.51

Results
Calculated formation energy in eV/atom: 0.145


# 24
A relaxed Mn2CrCu crystal, computed with GGA-PBE.

abc: 2.4981 2.4981 7.5119
angles: 90.00 90.00 90.00
With the nearest neighbours (Å) after each atom.
Space group P4mm (No. 99)
One atom of each set of equivalent atoms:
Mn (0.0000, 0.0000, 0.0000) [1 per cell]  8 Mn 2.48-2.50, 4 Cu 2.63
Mn (0.5000, 0.5000, 0.2316) [1 per cell]  8 Mn 2.48-2.50, 4 Cr 2.57
Cr (0.0000, 0.0000, 0.4795) [1 per cell]  4 Cr 2.50, 4 Mn 2.57, 4 Cu 2.63
Cu (0.5000, 0.5000, 0.7398) [1 per cell]  4 Cu 2.50, 4 Mn 2.63, 4 Cr 2.63

Results
Calculated formation energy in eV/atom: 0.211


# 25
A relaxed MnCr2Cu crystal, computed with GGA-PBE.

abc: 5.6998 5.6998 5.6998
angles: 90.00 90.00 90.00
With the nearest neighbours (Å) after each atom.
Space group Fm-3m (No. 225)
One atom of each set of equivalent atoms:
Mn (0.0000, 0.0000, 0.0000) [4 per cell]  8 Cr 2.47
Cr (0.2500, 0.2500, 0.2500) [8 per cell]  4 Mn 2.47, 4 Cu 2.47
Cu (0.0000, 0.0000, 0.5000) [4 per cell]  8 Cr 2.47

Results
Calculated formation energy in eV/atom: 0.366


# 26
A relaxed Mn2CrCu crystal, computed with GGA-PBE.

abc: 8.3923 2.4852 4.4519
angles: 90.00 98.82 90.00
With the nearest neighbours (Å) after each atom.
Space group Cm (No. 8)
One atom of each set of equivalent atoms:
Mn (0.0000, 0.0000, 0.0000) [2 per cell]  5 Mn 2.48-2.58, 3 Cr 2.48-2.57, 4 Cu 2.54-2.56
Mn (0.2410, 0.5000, 0.2460) [2 per cell]  5 Mn 2.48-2.58, 3 Cu 2.51-2.56, 4 Cr 2.53-2.57
Cr (0.2457, 0.0000, 0.7525) [2 per cell]  7 Mn 2.48-2.57, 2 Cr 2.49, 3 Cu 2.52-2.57
Cu (0.4933, 0.0000, 0.4964) [2 per cell]  2 Cu 2.49, 7 Mn 2.51-2.56, 3 Cr 2.52-2.57

Results
Calculated formation energy in eV/atom: 0.276


# 27
A relaxed MnCr4Cu crystal, computed with GGA-PBE.

abc: 6.5867 6.5867 6.5867
angles: 90.00 90.00 90.00
With the nearest neighbours (Å) after each atom.
Space group F-43m (No. 216)
One atom of each set of equivalent atoms:
Mn (0.0000, 0.0000, 0.0000) [4 per cell]  12 Cr 2.73, 4 Cu 2.85
Cr (0.1237, 0.1237, 0.3763) [16 per cell]  6 Cr 2.30-2.35
Cu (0.2500, 0.2500, 0.7500) [4 per cell]  12 Cr 2.73, 4 Mn 2.85

Results
Calculated formation energy in eV/atom: 0.303


# 28
A relaxed Mn2CrCu crystal, computed with GGA-PBE.

abc: 2.9692 2.9692 5.6133
angles: 90.00 90.00 90.00
With the nearest neighbours (Å) after each atom.
Space group P4mm (No. 99)
One atom of each set of equivalent atoms:
Mn (0.0000, 0.0000, 0.0000) [1 per cell]  4 Cu 2.51, 4 Mn 2.61, 1 Cr 2.73
Mn (0.5000, 0.5000, 0.2775) [1 per cell]  4 Cr 2.40, 4 Mn 2.61, 1 Cu 2.68
Cr (0.0000, 0.0000, 0.4861) [1 per cell]  4 Mn 2.40, 4 Cu 2.59
Cu (0.5000, 0.5000, 0.7553) [1 per cell]  5 Mn 2.51-2.68, 4 Cr 2.59

Results
Calculated formation energy in eV/atom: 0.209


# 29
A relaxed Mn2CrCu crystal, computed with GGA-PBE.

abc: 3.6241 3.6241 7.1015
angles: 90.00 90.00 90.00
With the nearest neighbours (Å) after each atom.
Space group I-4m2 (No. 119)
One atom of each set of equivalent atoms:
Mn (0.0000, 0.0000, 0.0000) [2 per cell]  4 Cr 2.54, 4 Mn 2.54, 4 Cu 2.56
Mn (0.0000, 0.5000, 0.2500) [2 per cell]  4 Mn 2.54, 4 Cu 2.54, 4 Cr 2.56
Cr (0.0000, 0.5000, 0.7500) [2 per cell]  8 Mn 2.54-2.56, 4 Cu 2.54
Cu (0.0000, 0.0000, 0.5000) [2 per cell]  4 Cr 2.54, 8 Mn 2.54-2.56

Results
Calculated formation energy in eV/atom: 0.241


# 30
A relaxed MnCr2Cu crystal, computed with GGA-PBE.

abc: 2.8924 3.9098 8.1705
angles: 90.00 90.00 90.00
With the nearest neighbours (Å) after each atom.
Space group Cmmm (No. 65)
One atom of each set of equivalent atoms:
Mn (0.0000, 0.0000, 0.0000) [2 per cell]  4 Mn 2.43, 4 Cr 2.44
Cr (0.0000, 0.5000, 0.2405) [4 per cell]  4 Cr 2.43, 2 Mn 2.44, 2 Cu 2.57
Cu (0.0000, 0.0000, 0.5000) [2 per cell]  4 Cu 2.43, 4 Cr 2.57

Results
Calculated formation energy in eV/atom: 0.192